No. 1
DFT (PBE) results for a relaxed Mn2FePt crystal.

Cell lengths 5.9445, 5.9445, 5.9445 Å; angles 90.00, 90.00, 90.00 degrees
With the nearest neighbours (Å) after each atom.
Space group F-43m (No. 216)
Inequivalent atoms, fractional coordinates:
Mn 0.0000 0.0000 0.0000 (multiplicity 4)  4 Pt 2.57, 4 Mn 2.57
Mn 0.2500 0.2500 0.2500 (multiplicity 4)  4 Mn 2.57, 4 Fe 2.57
Fe 0.0000 0.0000 0.5000 (multiplicity 4)  4 Mn 2.57, 4 Pt 2.57
Pt 0.2500 0.2500 0.7500 (multiplicity 4)  4 Mn 2.57, 4 Fe 2.57

No. 2
DFT (PBE) results for a relaxed Mn2FePt crystal.

Cell lengths 3.5636, 3.5636, 16.8583 Å; angles 90.00, 90.00, 90.00 degrees
With the nearest neighbours (Å) after each atom.
Space group I-42d (No. 122)
Inequivalent atoms, fractional coordinates:
Mn 0.1840 0.2500 0.1250 (multiplicity 8)  2 Mn 2.21, 2 Fe 2.38
Fe 0.0000 0.0000 0.0000 (multiplicity 4)  4 Mn 2.38, 4 Pt 2.52
Pt 0.0000 0.0000 0.5000 (multiplicity 4)  4 Fe 2.52, 4 Mn 2.55

No. 3
DFT (PBE) results for a relaxed Mn2FePt crystal.

Cell lengths 2.6524, 2.6524, 25.4113 Å; angles 90.00, 90.00, 120.00 degrees
With the nearest neighbours (Å) after each atom.
Space group R-3m (No. 166, hexagonal axes)
Inequivalent atoms, fractional coordinates:
Mn 0.0000 0.0000 0.2448 (multiplicity 6)  3 Fe 2.51, 6 Mn 2.65, 3 Pt 2.72
Fe 0.0000 0.0000 0.5000 (multiplicity 3)  6 Mn 2.51, 6 Fe 2.65
Pt 0.0000 0.0000 0.0000 (multiplicity 3)  6 Pt 2.65, 6 Mn 2.72

No. 4
DFT (PBE) results for a relaxed MnFePt6 crystal.

Cell lengths 3.9254, 3.9254, 7.8523 Å; angles 90.00, 90.00, 90.00 degrees
With the nearest neighbours (Å) after each atom.
Space group P4/mmm (No. 123)
Inequivalent atoms, fractional coordinates:
Mn 0.0000 0.0000 0.0000 (multiplicity 1)  12 Pt 2.78-2.79
Fe 0.0000 0.0000 0.5000 (multiplicity 1)  12 Pt 2.76-2.78
Pt 0.0000 0.5000 0.2532 (multiplicity 4)  2 Fe 2.76, 8 Pt 2.76-2.79, 2 Mn 2.79
Pt 0.5000 0.5000 0.0000 (multiplicity 1)  4 Mn 2.78, 8 Pt 2.79
Pt 0.5000 0.5000 0.5000 (multiplicity 1)  8 Pt 2.76, 4 Fe 2.78

No. 5
DFT (PBE) results for a relaxed Mn2FePt8 crystal.

Cell lengths 14.0749, 3.9504, 6.2283 Å; angles 90.00, 106.06, 90.00 degrees
With the nearest neighbours (Å) after each atom.
Space group C2/m (No. 12)
Inequivalent atoms, fractional coordinates:
Mn 0.2243 0.0000 0.1454 (multiplicity 4)  10 Pt 2.70-2.78, 2 Mn 2.90
Fe 0.0000 0.5000 0.5000 (multiplicity 2)  12 Pt 2.72-2.80
Pt 0.0453 0.0000 0.2281 (multiplicity 4)  1 Mn 2.71, 9 Pt 2.76-2.85, 2 Fe 2.79
Pt 0.0964 0.5000 0.9502 (multiplicity 4)  3 Mn 2.72-2.75, 8 Pt 2.73-2.95, 1 Fe 2.76
Pt 0.1390 0.0000 0.6886 (multiplicity 4)  7 Pt 2.73-2.81, 3 Mn 2.75-2.77, 2 Fe 2.80
Pt 0.1798 0.5000 0.4152 (multiplicity 4)  3 Mn 2.70-2.78, 1 Fe 2.72, 8 Pt 2.76-2.81

No. 6
DFT (PBE) results for a relaxed Mn2FePt crystal.

Cell lengths 2.6475, 2.6475, 7.3155 Å; angles 90.00, 90.00, 90.00 degrees
With the nearest neighbours (Å) after each atom.
Space group P4mm (No. 99)
Inequivalent atoms, fractional coordinates:
Mn 0.0000 0.0000 0.0000 (multiplicity 1)  4 Fe 2.52, 8 Mn 2.54-2.65
Mn 0.5000 0.5000 0.2346 (multiplicity 1)  8 Mn 2.54-2.65, 4 Pt 2.72
Fe 0.5000 0.5000 0.7686 (multiplicity 1)  4 Mn 2.52, 4 Fe 2.65, 4 Pt 2.69
Pt 0.0000 0.0000 0.5048 (multiplicity 1)  4 Pt 2.65, 4 Fe 2.69, 4 Mn 2.72

No. 7
DFT (PBE) results for a relaxed MnFe2Pt crystal.

Cell lengths 4.2252, 4.2252, 5.9659 Å; angles 90.00, 90.00, 90.00 degrees
With the nearest neighbours (Å) after each atom.
Space group I-4m2 (No. 119)
Inequivalent atoms, fractional coordinates:
Mn 0.0000 0.0000 0.0000 (multiplicity 2)  4 Fe 2.59, 4 Pt 2.59
Fe 0.0000 0.0000 0.5000 (multiplicity 2)  4 Fe 2.59, 4 Pt 2.59
Fe 0.0000 0.5000 0.7500 (multiplicity 2)  4 Mn 2.59, 4 Fe 2.59
Pt 0.0000 0.5000 0.2500 (multiplicity 2)  4 Mn 2.59, 4 Fe 2.59

No. 8
DFT (PBE) results for a relaxed MnFe2Pt8 crystal.

Cell lengths 14.0614, 3.9250, 6.2259 Å; angles 90.00, 105.95, 90.00 degrees
With the nearest neighbours (Å) after each atom.
Space group C2/m (No. 12)
Inequivalent atoms, fractional coordinates:
Mn 0.0000 0.0000 0.0000 (multiplicity 2)  12 Pt 2.74-2.81
Fe 0.2258 0.5000 0.6441 (multiplicity 4)  10 Pt 2.69-2.77, 2 Fe 2.86
Pt 0.0464 0.5000 0.7269 (multiplicity 4)  1 Fe 2.71, 9 Pt 2.76-2.84, 2 Mn 2.79
Pt 0.0987 0.0000 0.4549 (multiplicity 4)  3 Fe 2.70, 8 Pt 2.72-2.98, 1 Mn 2.79
Pt 0.1407 0.5000 0.1936 (multiplicity 4)  3 Fe 2.71-2.73, 7 Pt 2.72-2.84, 2 Mn 2.81
Pt 0.1814 0.0000 0.9157 (multiplicity 4)  3 Fe 2.69-2.77, 1 Mn 2.74, 8 Pt 2.75-2.78

no.,volume (A^3/atom),D(E_F) (states/eV per cell),ΔH_f (0 K) (eV/f.u.)
1,13.13,15.89,0.169
2,13.38,15.57,1.804
3,12.90,14.99,0.319
4,15.12,8.73,-2.284
5,15.13,23.92,-2.814
6,12.82,4.87,-0.201
7,13.31,6.29,-0.268
8,15.02,22.61,-2.583